Record 1
Material: AlHgAu2
Method: DFT, PBE
State: optimized geometry

Lattice parameters (Å, degrees): 4.8118 4.8118 4.9790 103.48 103.48 44.71
Fractional coordinates of all 4 atoms:
1 Al 0.0000 0.0000 0.0000
2 Hg 0.7615 0.7615 0.3359
3 Au 0.2774 0.2774 0.8758
4 Au 0.5224 0.5224 0.6045

- Space group: No. 8
- Polymorph energy (0 for the lowest one): 105.5 meV/atom

Record 2
Material: Al2HgAu
Method: DFT, PBE
State: optimized geometry

Lattice parameters (Å, degrees): 5.4431 5.4431 3.5472 107.64 107.64 114.13
Fractional coordinates of all 4 atoms:
1 Al 0.0000 0.5000 0.0000
2 Al 0.5000 0.0000 0.0000
3 Hg 0.0000 0.0000 0.0000
4 Au 0.5000 0.5000 0.0000

- Space group: No. 12
- Polymorph energy (0 for the lowest one): 174.0 meV/atom

Record 3
Material: AlHgAu2
Method: DFT, PBE
State: optimized geometry

Lattice parameters (Å, degrees): 4.7151 4.7151 4.7151 60.00 60.00 60.00
Fractional coordinates of all 4 atoms:
1 Al 0.0000 0.0000 0.0000
2 Hg 0.5000 0.5000 0.5000
3 Au 0.2500 0.2500 0.2500
4 Au 0.7500 0.7500 0.7500

- Space group: No. 225
- Polymorph energy (0 for the lowest one): 174.3 meV/atom

Record 4
Material: AlHg2Au
Method: DFT, PBE
State: optimized geometry

Lattice parameters (Å, degrees): 6.1293 6.1293 3.2085 102.92 102.92 126.18
Fractional coordinates of all 4 atoms:
1 Al 0.0000 0.0000 0.0000
2 Hg 0.0000 0.5000 0.0000
3 Hg 0.5000 0.0000 0.0000
4 Au 0.5000 0.5000 0.0000

- Space group: No. 12

Record 5
Material: AlHg2Au
Method: DFT, PBE
State: optimized geometry

Lattice parameters (Å, degrees): 5.1840 5.1840 5.1840 128.60 128.60 75.65
Fractional coordinates of all 4 atoms:
1 Al 0.0000 0.0000 0.0000
2 Hg 0.5000 0.5000 0.0000
3 Hg 0.7500 0.2500 0.5000
4 Au 0.2500 0.7500 0.5000

- Space group: No. 119

Record 6
Material: Al2HgAu
Method: DFT, PBE
State: optimized geometry

Lattice parameters (Å, degrees): 3.7845 3.7845 5.3237 90.00 90.00 90.00
Fractional coordinates of all 4 atoms:
1 Al 0.0000 0.0000 0.0000
2 Al 0.5000 0.5000 0.3157
3 Hg 0.5000 0.5000 0.8144
4 Au 0.0000 0.0000 0.4765

- Space group: No. 99
- Polymorph energy (0 for the lowest one): 62.5 meV/atom

Record 7
Material: AlHg2Au
Method: DFT, PBE
State: optimized geometry

Lattice parameters (Å, degrees): 2.8619 5.2325 5.6747 90.00 90.00 90.00
Fractional coordinates of all 4 atoms:
1 Al 0.0000 0.0000 0.0000
2 Hg 0.0000 0.5000 0.5000
3 Hg 0.5000 0.0000 0.5000
4 Au 0.5000 0.5000 0.0000

- Space group: No. 47

Record 8
Material: AlIn2HgAu
Method: DFT, PBE
State: optimized geometry

Lattice parameters (Å, degrees): 5.4397 5.4397 4.8685 90.00 90.00 90.00
Fractional coordinates of all 5 atoms:
1 Al 0.0000 0.0000 0.0000
2 In 0.0000 0.5000 0.5000
3 In 0.5000 0.0000 0.5000
4 Hg 0.5000 0.5000 0.0000
5 Au 0.0000 0.0000 0.5000

- Space group: No. 123

Record 9
Material: KAlHgAu2
Method: DFT, PBE
State: optimized geometry

Lattice parameters (Å, degrees): 5.0612 5.0612 5.3902 90.00 90.00 90.00
Fractional coordinates of all 5 atoms:
1 K 0.0000 0.0000 0.0000
2 Al 0.5000 0.5000 0.5000
3 Hg 0.5000 0.5000 0.0000
4 Au 0.0000 0.5000 0.5000
5 Au 0.5000 0.0000 0.5000

- Space group: No. 123

Record 10
Material: La2Al3HgAu4
Method: DFT, PBE
State: optimized geometry

Lattice parameters (Å, degrees): 4.5160 4.5160 10.8129 90.00 90.00 90.00
Fractional coordinates of all 10 atoms:
1 La 0.0000 0.5000 0.2459
2 La 0.5000 0.0000 0.7541
3 Al 0.0000 0.5000 0.8797
4 Al 0.5000 0.0000 0.1203
5 Al 0.5000 0.5000 0.5000
6 Hg 0.0000 0.0000 0.5000
7 Au 0.0000 0.0000 0.0000
8 Au 0.0000 0.5000 0.6496
9 Au 0.5000 0.0000 0.3504
10 Au 0.5000 0.5000 0.0000

- Space group: No. 115

What E values result from the calculations? In sequence: -2.7177; -2.7033; -2.6489; -1.8282; -1.7818; -2.8147; -1.7835; -2.4509; -2.5371; -4.1020 eV per atom.